Below is a geometry-optimized SrMg2As structure, with properties calculated at the PBE-GGA level.

* calculated formation energy: -209 meV per atom
* crystal system: monoclinic
* V: 216 Å³ per cell
* D(E_F): 3.0 states/eV per cell

a b c (Å): 6.267 12.055 3.391
angles (deg): 90.00 122.60 90.00
Space group C2/m (No. 12)
Asymmetric unit:
1 Sr 0.000 0.000 0.000
2 Mg 0.250 0.250 0.500
3 As 0.000 0.500 0.000